Entry from Alexandria: a relaxed structure of LiLuCoSb (GGA-PBE).

Output
The value obtained for the density is 9.19 g cm⁻³. The raw formation energy comes out at -517 meV/atom. Its total energy is -19.73 eV/cell.

Unit cell a=4.5248 b=4.5248 c=4.5248 alpha=60.00 beta=60.00 gamma=60.00
Positions (direct):
Li1 0.0000 0.0000 0.0000
Lu1 0.7500 0.7500 0.7500
Co1 0.5000 0.5000 0.5000
Sb1 0.2500 0.2500 0.2500